Record 1
First-principles (PBE-GGA) data for a geometry-optimized ZrCr2Cd structure, as listed in Alexandria.

Values from the calculation:
The calculation puts the total energy at -6.35 eV/atom. As for the energy of formation from the pure elements: 0.825 eV/atom. The volume comes out at 19.674 A^3/atom. The total magnetic moment comes out at 1.516 μB/atom. The value obtained for the density is 6.49 g cm⁻³.

Lattice parameters (Å, degrees): 7.3089 7.3089 5.8928 90.00 90.00 90.00
Space group I-42d (No. 122)
Symmetry-distinct sites (fractional):
Zr (0.0000, 0.0000, 0.0000) x4
Cr (0.2480, 0.2500, 0.6250) x8
Cd (0.0000, 0.0000, 0.5000) x4

Record 2
First-principles (PBE-GGA) data for a geometry-optimized Mg2ScSe structure, as listed in Alexandria.

Values from the calculation:
The calculation puts the total energy at -3.72 eV/atom. The volume comes out at 22.385 A^3/atom. The total magnetic moment comes out at 0.000 μB/atom. The value obtained for the density is 3.20 g cm⁻³.

Lattice parameters (Å, degrees): 5.6303 11.2637 3.8132 90.00 132.22 90.00
Space group C2/m (No. 12)
Symmetry-distinct sites (fractional):
Mg (0.2500, 0.2500, 0.0000) x4
Sc (0.0000, 0.0000, 0.0000) x2
Se (0.0000, 0.5000, 0.0000) x2

Record 3
First-principles (PBE-GGA) data for a geometry-optimized CdAs structure, as listed in Alexandria.

Values from the calculation:
The calculation puts the total energy at -2.74 eV/atom. As for the energy of formation from the pure elements: 0.043 eV/atom. The volume comes out at 22.562 A^3/atom. The total magnetic moment comes out at 0.000 μB/atom. The value obtained for the density is 6.89 g cm⁻³.

Lattice parameters (Å, degrees): 4.2188 4.2232 5.8125 105.96 110.65 97.28
Space group P-1 (No. 2)
Symmetry-distinct sites (fractional):
Cd (0.0441, 0.2316, 0.2745) x2
As (0.4892, 0.7075, 0.1967) x2

Record 4
First-principles (PBE-GGA) data for a geometry-optimized Sc2TlRhC structure, as listed in Alexandria.

Values from the calculation:
The calculation puts the total energy at -6.77 eV/atom. As for the energy of formation from the pure elements: -0.450 eV/atom. The volume comes out at 17.132 A^3/atom. The total magnetic moment comes out at 0.000 μB/atom. The value obtained for the density is 7.93 g cm⁻³.

Lattice parameters (Å, degrees): 4.5724 4.5724 4.0972 90.00 90.00 90.00
Space group P4/mmm (No. 123)
Symmetry-distinct sites (fractional):
Sc (0.0000, 0.5000, 0.0000) x2
Tl (0.0000, 0.0000, 0.5000) x1
Rh (0.5000, 0.5000, 0.5000) x1
C (0.5000, 0.5000, 0.0000) x1

Record 5
First-principles (PBE-GGA) data for a geometry-optimized Pu2MnGa6Cu structure, as listed in Alexandria.

Values from the calculation:
The calculation puts the total energy at -6.21 eV/atom. As for the energy of formation from the pure elements: -0.198 eV/atom. The volume comes out at 18.891 A^3/atom. The total magnetic moment comes out at 1.360 μB/atom. The value obtained for the density is 9.01 g cm⁻³.

Lattice parameters (Å, degrees): 6.2926 6.2926 33.0533 90.00 90.00 120.00
Space group R-3m (No. 166, hexagonal axes)
Symmetry-distinct sites (fractional):
Pu (0.0000, 0.0000, 0.1224) x6
Pu (0.0000, 0.0000, 0.2965) x6
Mn (0.0000, 0.0000, 0.0000) x3
Mn (0.0000, 0.0000, 0.5000) x3
Ga (0.0116, 0.5058, 0.2906) x18
Ga (0.0595, 0.5297, 0.8745) x18
Cu (0.0000, 0.0000, 0.4243) x6

Record 6
First-principles (PBE-GGA) data for a geometry-optimized Ac5In2Pb structure, as listed in Alexandria.

Values from the calculation:
The calculation puts the total energy at -4.10 eV/atom. As for the energy of formation from the pure elements: -0.387 eV/atom. The volume comes out at 38.129 A^3/atom. The total magnetic moment comes out at 0.000 μB/atom. The value obtained for the density is 8.56 g cm⁻³.

Lattice parameters (Å, degrees): 9.1216 9.1216 14.6642 90.00 90.00 90.00
Space group I4/mcm (No. 140)
Symmetry-distinct sites (fractional):
Ac (0.0000, 0.0000, 0.0000) x4
Ac (0.1638, 0.3362, 0.1486) x16
In (0.1309, 0.3691, 0.5000) x8
Pb (0.0000, 0.0000, 0.2500) x4